Compound: KMg2Ga4
Source: Alexandria via LeMat-Bulk
Functional: PBE
Structure: relaxed

Cell lengths 4.276, 4.386, 9.296 Å; angles 103.64, 103.29, 90.00 degrees
Fractional coordinates of all 7 atoms:
K  0.500  0.000  0.000
Ga  0.076  0.576  0.152
Ga  0.924  0.424  0.848
Ga  0.345  0.345  0.690
Mg  0.189  0.189  0.378
Ga  0.655  0.655  0.310
Mg  0.811  0.811  0.622

Calculated values
- energy of formation from the pure elements (eV per formula unit) = -0.43
- calculated total energy (eV/atom) = -2.403